{
  "formula": "MgIn3O",
  "functional": "GGA-PBE",
  "state": "optimized geometry",
  "sg": "No. 221",
  "e_form_raw_ev_per_fu": -1.03,
  "cell": [[4.874, 0.000, 0.000], [0.000, 4.874, 0.000], [0.000, 0.000, 4.874]],
  "species": ["Mg", "In", "In", "In", "O"],
  "frac_coords": [[0.000, 0.000, 0.000], [0.000, 0.500, 0.500], [0.500, 0.000, 0.500], [0.500, 0.500, 0.000], [0.500, 0.500, 0.500]]
}

***

{
  "formula": "KSr2Ca",
  "functional": "GGA-PBE",
  "state": "optimized geometry",
  "sg": "No. 123",
  "ef_mev_per_atom": 65,
  "cell": [[4.172, 0.000, 0.000], [0.000, 4.172, 0.000], [0.000, 0.000, 12.566]],
  "species": ["K", "Sr", "Sr", "Ca"],
  "frac_coords": [[0.000, 0.000, 0.000], [0.500, 0.500, 0.278], [0.500, 0.500, 0.722], [0.000, 0.000, 0.500]]
}

***

{
  "formula": "Sm5Te5Ir",
  "functional": "GGA-PBE",
  "state": "optimized geometry",
  "sg": "No. 12",
  "e_form_raw_ev_per_fu": -13.87,
  "cell": [[7.021, -3.136, 0.000], [7.021, 3.136, 0.000], [-2.850, 0.000, 8.241]],
  "species": ["Sm", "Sm", "Sm", "Sm", "Sm", "Te", "Te", "Te", "Te", "Te", "Ir"],
  "frac_coords": [[0.000, 0.000, 0.000], [0.350, 0.350, 0.693], [0.351, 0.351, 0.151], [0.649, 0.649, 0.849], [0.650, 0.650, 0.307], [0.165, 0.165, 0.825], [0.182, 0.182, 0.333], [0.500, 0.500, 0.500], [0.818, 0.818, 0.667], [0.835, 0.835, 0.175], [0.500, 0.500, 0.000]]
}

***

{
  "formula": "BaGaN",
  "functional": "GGA-PBE",
  "state": "optimized geometry",
  "sg": "No. 8",
  "e_form_raw_ev_per_fu": -1.29,
  "cell": [[3.821, -2.178, 0.000], [3.821, 2.178, 0.000], [-0.681, 0.000, 8.894]],
  "species": ["Ba", "Ba", "Ga", "Ga", "N", "N"],
  "frac_coords": [[0.000, 0.000, 0.000], [0.052, 0.052, 0.574], [0.358, 0.358, 0.291], [0.689, 0.689, 0.292], [0.290, 0.290, 0.841], [0.413, 0.413, 0.759]]
}

***

{
  "formula": "TiGeBr",
  "functional": "GGA-PBE",
  "state": "optimized geometry",
  "sg": "No. 12",
  "e_form_raw_ev_per_fu": -1.37,
  "cell": [[7.034, -1.743, 0.000], [7.034, 1.743, 0.000], [-2.740, 0.000, 6.196]],
  "species": ["Ti", "Ti", "Ge", "Ge", "Br", "Br"],
  "frac_coords": [[0.240, 0.240, 0.314], [0.760, 0.760, 0.686], [0.185, 0.185, 0.886], [0.815, 0.815, 0.114], [0.397, 0.397, 0.685], [0.603, 0.603, 0.315]]
}

***

{
  "formula": "PrAl3Ru2",
  "functional": "GGA-PBE",
  "state": "optimized geometry",
  "sg": "No. 63",
  "ef_mev_per_atom": -550,
  "cell": [[4.861, -3.951, 0.000], [4.861, 3.951, 0.000], [0.000, 0.000, 5.770]],
  "species": ["Pr", "Pr", "Al", "Al", "Al", "Al", "Al", "Al", "Ru", "Ru", "Ru", "Ru"],
  "frac_coords": [[0.148, 0.852, 0.750], [0.852, 0.148, 0.250], [0.037, 0.588, 0.250], [0.412, 0.963, 0.250], [0.464, 0.536, 0.250], [0.536, 0.464, 0.750], [0.588, 0.037, 0.750], [0.963, 0.412, 0.750], [0.289, 0.289, 0.000], [0.289, 0.289, 0.500], [0.711, 0.711, 0.000], [0.711, 0.711, 0.500]]
}

***

{
  "formula": "Al2HgPb",
  "functional": "GGA-PBE",
  "state": "optimized geometry",
  "sg": "No. 123",
  "ef_mev_per_atom": 264,
  "cell": [[5.313, 0.000, 0.000], [0.000, 5.313, 0.000], [0.000, 0.000, 3.299]],
  "species": ["Al", "Al", "Hg", "Pb"],
  "frac_coords": [[0.000, 0.500, 0.000], [0.500, 0.000, 0.000], [0.000, 0.000, 0.500], [0.500, 0.500, 0.500]]
}

***

Number 1: size of the total moment 0.00 Bohr magnetons per cell. Number 2: size of the total moment 0.00 Bohr magnetons per cell. Number 3: size of the total moment 0.00 Bohr magnetons per cell. Number 4: size of the total moment 0.00 Bohr magnetons per cell. Number 5: size of the total moment 0.00 Bohr magnetons per cell. Number 6: size of the total moment 0.00 Bohr magnetons per cell. Number 7: size of the total moment 0.00 Bohr magnetons per cell.